Entry 1:
Ho3Er5Tm3 | GGA-PBE | relaxed

Cell and atoms, written as POSCAR:
```
Ho3Er5Tm3
1.0
10.9575 0.0000 0.0000
-5.4787 9.4894 0.0000
0.0000 0.0000 3.3902
Ho Er Tm
3 5 3
direct
0.0000 0.6590 0.0000
0.3410 0.3410 0.0000
0.6590 0.0000 0.0000
0.0000 0.1600 0.0000
0.1600 0.0000 0.0000
0.3333 0.6667 0.0000
0.6667 0.3333 0.0000
0.8400 0.8400 0.0000
0.0000 0.4065 0.5000
0.4065 0.0000 0.5000
0.5935 0.5935 0.5000
```

DOS at the Fermi energy ... 16.58 states/eV per cell
Formation energy from the elements ... 0.37 eV per atom

Entry 2:
CoAs6Os2 | GGA-PBE | relaxed

Cell and atoms, written as POSCAR:
```
CoAs6Os2
1.0
5.6043 0.0000 0.0000
0.0000 5.6043 0.0000
0.0000 0.0000 11.1115
Co As Os
2 12 4
direct
0.0000 0.0000 0.0000
0.5000 0.5000 0.5000
0.1918 0.1918 0.1618
0.1918 0.1918 0.8382
0.2116 0.2116 0.5000
0.2884 0.7116 0.0000
0.3082 0.6918 0.3382
0.3082 0.6918 0.6618
0.6918 0.3082 0.3382
0.6918 0.3082 0.6618
0.7116 0.2884 0.0000
0.7884 0.7884 0.5000
0.8082 0.8082 0.1618
0.8082 0.8082 0.8382
0.0000 0.0000 0.3341
0.0000 0.0000 0.6659
0.5000 0.5000 0.1659
0.5000 0.5000 0.8341
```

DOS at the Fermi energy ... 13.24 states/eV per cell
Formation energy from the elements ... 0.12 eV per atom

Entry 3:
Mn3CrPt4 | GGA-PBE | relaxed

Cell and atoms, written as POSCAR:
```
Mn3CrPt4
1.0
8.9734 0.0000 0.0000
0.0000 5.6267 0.0000
0.0000 0.0000 4.6779
Mn Cr Pt
6 2 8
direct
0.0000 0.0000 0.0000
0.2500 0.0000 0.3737
0.2500 0.5000 0.3600
0.5000 0.0000 0.0000
0.7500 0.0000 0.6263
0.7500 0.5000 0.6400
0.0000 0.5000 0.0000
0.5000 0.5000 0.0000
0.0000 0.2512 0.5000
0.0000 0.7488 0.5000
0.2500 0.2523 0.8681
0.2500 0.7477 0.8681
0.5000 0.2512 0.5000
0.5000 0.7488 0.5000
0.7500 0.2523 0.1319
0.7500 0.7477 0.1319
```

DOS at the Fermi energy ... 12.20 states/eV per cell
Formation energy from the elements ... -0.34 eV per atom